A relaxed GdPuSnAu crystal. Source: the Alexandria database, functional PBE.

abc: 5.2673 5.2673 5.2673
angles: 60.00 60.00 60.00
Fractional coordinates of all 4 atoms:
Gd (0.0000, 0.0000, 0.0000)
Pu (0.5000, 0.5000, 0.5000)
Sn (0.7500, 0.7500, 0.7500)
Au (0.2500, 0.2500, 0.2500)

Summary:
Formation energy from the elements   -0.545 eV per atom
Density of states at the Fermi level   2.928 states/eV per atom
Total magnetization   3.309 μB per atom
Space-group type   F-43m (216)

=====

A relaxed GdPuZnAu crystal. Source: the Alexandria database, functional PBE.

abc: 5.1421 5.1421 5.1421
angles: 60.00 60.00 60.00
Fractional coordinates of all 4 atoms:
Gd (0.0000, 0.0000, 0.0000)
Pu (0.5000, 0.5000, 0.5000)
Zn (0.7500, 0.7500, 0.7500)
Au (0.2500, 0.2500, 0.2500)

Summary:
Formation energy from the elements   -0.359 eV per atom
Density of states at the Fermi level   2.638 states/eV per atom
Total magnetization   0.350 μB per atom
Space-group type   F-43m (216)

=====

A relaxed RbGdAu2 crystal. Source: the Alexandria database, functional PBE.

abc: 3.7693 3.7693 8.3302
angles: 90.00 90.00 90.00
Fractional coordinates of all 4 atoms:
Rb (0.0000, 0.0000, 0.0000)
Gd (0.0000, 0.0000, 0.5000)
Au (0.5000, 0.5000, 0.3190)
Au (0.5000, 0.5000, 0.6810)

Summary:
Formation energy from the elements   -0.550 eV per atom
Density of states at the Fermi level   0.709 states/eV per atom
Total magnetization   1.786 μB per atom
Space-group type   P4/mmm (123)

=====

A relaxed Gd2RhAu crystal. Source: the Alexandria database, functional PBE.

abc: 9.1300 9.1300 9.1300
angles: 25.29 25.29 25.29
Fractional coordinates of all 4 atoms:
Gd (0.1092, 0.1092, 0.1092)
Gd (0.8908, 0.8908, 0.8908)
Rh (0.5000, 0.5000, 0.5000)
Au (0.0000, 0.0000, 0.0000)

Summary:
Formation energy from the elements   -0.318 eV per atom
Density of states at the Fermi level   0.517 states/eV per atom
Total magnetization   3.558 μB per atom
Space-group type   R-3m (166)

=====

> Among the records above, which one has the lowest formation energy from the elements?

RbGdAu2

=====

> Which formula does entry 3 have?

RbGdAu2

=====

> The lowest formation energy from the elements belongs to which entry?

RbGdAu2

=====

> density of states at the Fermi level of number 1 (GdPuSnAu)?

2.928 states/eV per atom